This record from Alexandria describes Cd3SnCl8 after structural relaxation. The functional is PBE.

Computed properties:
The uncorrected formation energy comes out at -1050 meV/atom. The total energy comes out at -2.843 eV per atom.

Unit cell a=8.0114 b=8.0095 c=7.8780 alpha=120.93 beta=90.00 gamma=120.01
Last column: nearest neighbours and their distance in Å.
Fractional coordinates of all 12 atoms:
Cd1 0.5000 0.0000 0.0000  6 Cl 2.68-2.72
Cd2 0.5000 0.5000 0.0000  6 Cl 2.68-2.71
Cd3 0.0000 0.5000 0.0000  6 Cl 2.68-2.71
Sn1 0.0000 0.0000 0.0000  6 Cl 2.85
Cl1 0.2575 0.5150 0.7756  3 Cd 2.71-2.72
Cl2 0.7425 0.4850 0.2244  3 Cd 2.71-2.72
Cl3 0.2759 0.0215 0.7700  2 Cd 2.68, 1 Sn 2.85
Cl4 0.7456 0.0215 0.7700  2 Cd 2.68, 1 Sn 2.85
Cl5 0.7457 0.4915 0.7700  2 Cd 2.68, 1 Sn 2.85
Cl6 0.2543 0.5085 0.2300  2 Cd 2.68, 1 Sn 2.85
Cl7 0.2544 0.9785 0.2300  2 Cd 2.68, 1 Sn 2.85
Cl8 0.7241 0.9785 0.2300  2 Cd 2.68, 1 Sn 2.85